Entry 1:
Here is crystalline Tl3Ir at its relaxed geometry from Alexandria via LeMat-Bulk. Energies are from PBE-GGA. Values from VASP.

Structure (Quantum ESPRESSO input):
```
&SYSTEM
  ibrav = 0, nat = 4, ntyp = 2
/
ATOMIC_SPECIES
Tl 204.38 Tl.upf
Ir 192.22 Ir.upf
CELL_PARAMETERS angstrom
5.3079 0.0000 0.0000
0.0000 4.1768 0.0000
-2.6473 0.0000 5.5770
ATOMIC_POSITIONS angstrom
Tl 0.0000 0.0000 0.0000
Tl 0.0038 2.0884 3.7691
Tl 2.6568 2.0884 1.8080
Ir 2.6539 0.0000 0.0000
```

Properties
Energy above the lowest structure with this stoichiometry in eV per atom: 0.1552
Uncorrected energy in eV/atom: -3.700
Space-group type: No. 10
Spin magnetization in μB/f.u.: 0.0

***

Entry 2:
Here is crystalline Tl3Ir at its relaxed geometry from Alexandria via LeMat-Bulk. Energies are from PBE-GGA. Values from VASP.

Structure (Quantum ESPRESSO input):
```
&SYSTEM
  ibrav = 0, nat = 8, ntyp = 2
/
ATOMIC_SPECIES
Tl 204.38 Tl.upf
Ir 192.22 Ir.upf
CELL_PARAMETERS angstrom
5.6981 0.0000 0.0000
0.0000 5.6981 0.0000
0.0000 0.0000 5.6981
ATOMIC_POSITIONS angstrom
Tl 0.0000 1.4245 2.8490
Tl 0.0000 4.2735 2.8490
Tl 1.4245 2.8490 0.0000
Tl 2.8490 0.0000 1.4245
Tl 2.8490 0.0000 4.2735
Tl 4.2735 2.8490 0.0000
Ir 0.0000 0.0000 0.0000
Ir 2.8490 2.8490 2.8490
```

Properties
Energy above the lowest structure with this stoichiometry in eV per atom: 0.4141
Uncorrected energy in eV/atom: -3.441
Space-group type: No. 223
Spin magnetization in μB/f.u.: 0.0

***

Q: What is the spin magnetization in the second record?
A: 0.0 μB/f.u.